Record 1
The following is a GGA-PBE calculation of SrPb2I after structural relaxation, from Alexandria.

Cell and atoms, written as POSCAR:
```
SrPb2I
1.0
-5.046 5.046 3.175
5.046 -5.046 3.175
5.046 5.046 -3.175
Sr Pb I
2 4 2
Cartesian
0.000 0.000 0.000
0.000 5.046 1.587
2.523 -2.375 2.381
2.671 2.523 0.794
2.523 7.421 -0.794
2.375 2.523 3.968
5.046 0.000 1.587
0.000 0.000 3.175
```

Properties
total magnetization: 0.00 μB/f.u.
calculated total energy: -2.844 eV/atom
formation energy (no corrections): -0.18 eV/atom

Record 2
The following is a GGA-PBE calculation of Zr2AlSi after structural relaxation, from Alexandria.

Cell and atoms, written as POSCAR:
```
Zr2AlSi
1.0
3.421 -4.307 0.000
3.421 4.307 0.000
-1.873 0.000 5.176
Zr Al Si
4 2 2
Cartesian
2.485 3.891 2.588
3.519 1.312 0.091
2.582 -1.312 2.679
3.421 -3.891 0.000
1.341 1.247 2.325
0.405 -1.247 4.913
3.723 1.350 2.950
4.660 -1.350 0.362
```

Properties
total magnetization: 0.00 μB/f.u.
calculated total energy: -7.154 eV/atom
formation energy (no corrections): -0.59 eV/atom

Record 3
The following is a GGA-PBE calculation of Pm4Sn2Cl after structural relaxation, from Alexandria.

Cell and atoms, written as POSCAR:
```
Pm4Sn2Cl
1.0
-2.574 2.574 8.271
2.574 -2.574 8.271
2.574 2.574 -8.271
Pm Sn Cl
4 2 1
Cartesian
2.574 0.000 0.000
0.000 0.000 2.876
0.000 2.574 0.000
0.000 0.000 13.666
0.000 0.000 6.038
0.000 0.000 10.503
0.000 0.000 0.000
```

Properties
total magnetization: 0.00 μB/f.u.
calculated total energy: -4.804 eV/atom
formation energy (no corrections): -0.68 eV/atom

Record 4
The following is a GGA-PBE calculation of K4NdU3S8 after structural relaxation, from Alexandria.

Cell and atoms, written as POSCAR:
```
K4NdU3S8
1.0
4.082 2.357 7.430
-4.082 2.357 7.430
0.000 -4.714 7.430
K Nd U S
4 1 3 8
Cartesian
0.000 0.000 0.000
-2.041 -1.178 7.430
-2.041 1.178 14.860
0.000 2.357 7.430
0.000 0.000 11.145
-4.082 0.000 11.145
-2.041 1.178 3.715
2.041 1.178 3.715
-2.088 -1.206 12.678
0.000 0.000 5.214
0.000 -2.412 9.612
-2.088 1.206 9.612
2.088 -1.206 12.678
0.000 2.412 12.678
0.000 0.000 17.076
2.088 1.206 9.612
```

Properties
total magnetization: 9.01 μB/f.u.
calculated total energy: -6.244 eV/atom
formation energy (no corrections): -1.49 eV/atom

Record 5
The following is a GGA-PBE calculation of TmPuFeNi after structural relaxation, from Alexandria.

Cell and atoms, written as POSCAR:
```
TmPuFeNi
1.0
0.000 3.325 3.325
3.325 0.000 3.325
3.325 3.325 0.000
Tm Pu Fe Ni
1 1 1 1
Cartesian
0.000 0.000 0.000
3.325 3.325 3.325
1.662 1.662 1.662
4.987 4.987 4.987
```

Properties
ΔE_f: -42 meV per atom
total magnetization: 3.74 μB/f.u.
calculated total energy: -8.304 eV/atom

Record 6
The following is a GGA-PBE calculation of SmNi3B after structural relaxation, from Alexandria.

Cell and atoms, written as POSCAR:
```
SmNi3B
1.0
5.658 0.000 0.000
-2.829 4.900 0.000
0.000 0.000 9.548
Sm Ni B
4 12 4
Cartesian
0.000 0.000 0.000
0.000 0.000 4.774
0.000 3.267 2.387
2.829 1.633 7.161
-1.415 2.450 0.000
-1.415 2.450 4.774
0.000 1.545 7.161
-1.491 4.128 7.161
1.338 0.772 2.387
2.829 0.000 0.000
2.829 0.000 4.774
1.415 2.450 0.000
1.415 2.450 4.774
1.491 4.128 7.161
4.321 0.772 2.387
2.829 3.355 2.387
0.000 3.267 6.090
0.000 3.267 8.232
2.829 1.633 1.316
2.829 1.633 3.458
```

Properties
ΔE_f: -305 meV per atom
total magnetization: 0.00 μB/f.u.
calculated total energy: -6.053 eV/atom

Record 7
The following is a GGA-PBE calculation of CaY2Si2 after structural relaxation, from Alexandria.

Cell and atoms, written as POSCAR:
```
CaY2Si2
1.0
8.133 0.000 0.000
0.000 8.133 0.000
0.000 0.000 3.742
Ca Y Si
2 4 4
Cartesian
0.000 0.000 0.000
4.067 4.067 0.000
1.175 2.892 1.871
2.892 6.959 1.871
5.242 1.175 1.871
6.959 5.242 1.871
1.298 5.364 0.000
2.769 1.298 0.000
5.364 6.836 0.000
6.836 2.769 0.000
```

Properties
total magnetization: 0.00 μB/f.u.
calculated total energy: -5.688 eV/atom
formation energy (no corrections): -0.53 eV/atom

Record 8
The following is a GGA-PBE calculation of LiZn4Se after structural relaxation, from Alexandria.

Cell and atoms, written as POSCAR:
```
LiZn4Se
1.0
0.000 3.744 3.744
3.744 0.000 3.744
3.744 3.744 0.000
Li Zn Se
1 4 1
Cartesian
0.000 0.000 0.000
2.807 2.807 2.807
4.680 4.680 2.807
4.680 2.807 4.680
2.807 4.680 4.680
5.615 5.615 5.615
```

Properties
total magnetization: 0.00 μB/f.u.
calculated total energy: -1.737 eV/atom
formation energy (no corrections): 0.01 eV/atom

Record 9
The following is a GGA-PBE calculation of CrNi6Rh after structural relaxation, from Alexandria.

Cell and atoms, written as POSCAR:
```
CrNi6Rh
1.0
5.072 0.000 0.000
-2.536 4.392 0.000
0.000 0.000 4.137
Cr Ni Rh
1 6 1
Cartesian
0.000 0.000 0.000
-1.251 2.206 0.000
0.000 1.478 2.068
-1.256 3.653 2.068
1.251 2.206 0.000
0.000 4.372 0.000
1.256 3.653 2.068
2.536 1.464 2.068
```

Properties
ΔE_f: 37 meV per atom
total magnetization: 4.67 μB/f.u.
calculated total energy: -6.421 eV/atom

Record 10
The following is a GGA-PBE calculation of Mn4BeNb after structural relaxation, from Alexandria.

Cell and atoms, written as POSCAR:
```
Mn4BeNb
1.0
7.414 0.000 0.000
0.000 2.988 0.000
0.000 0.000 6.358
Mn Be Nb
8 2 2
Cartesian
0.000 0.000 0.000
0.349 1.494 1.979
1.853 1.494 6.054
3.358 1.494 1.979
3.707 0.000 0.000
4.056 1.494 4.379
5.560 1.494 0.303
7.065 1.494 4.379
1.853 0.000 1.374
5.560 0.000 4.983
1.853 0.000 3.876
5.560 0.000 2.481
```

Properties
ΔE_f: 21 meV per atom
total magnetization: 0.95 μB/f.u.
calculated total energy: -8.391 eV/atom

Record 11
The following is a GGA-PBE calculation of Cd2TcI after structural relaxation, from Alexandria.

Cell and atoms, written as POSCAR:
```
Cd2TcI
1.0
-4.627 4.627 2.643
4.627 -4.627 2.643
4.627 4.627 -2.643
Cd Tc I
4 2 2
Cartesian
6.940 1.471 -0.661
1.471 2.313 0.661
-2.313 3.156 1.983
3.156 2.313 3.304
0.000 0.000 0.000
0.000 4.627 1.322
4.627 0.000 1.322
0.000 0.000 2.643
```

Properties
total magnetization: 2.00 μB/f.u.
calculated total energy: -2.716 eV/atom
formation energy (no corrections): 0.72 eV/atom

Record 12
The following is a GGA-PBE calculation of CaDyAl after structural relaxation, from Alexandria.

Cell and atoms, written as POSCAR:
```
CaDyAl
1.0
5.207 0.000 0.000
-2.604 4.510 0.000
0.000 0.000 3.522
Ca Dy Al
1 1 1
Cartesian
0.000 0.000 0.000
0.000 3.007 2.034
2.604 1.503 1.033
```

Properties
ΔE_f: -36 meV per atom
total magnetization: 0.00 μB/f.u.
calculated total energy: -3.485 eV/atom

> Among the records above, which one has the highest total magnetization?

K4NdU3S8

> Look up the total magnetization of the fourth one.

9.01 μB/f.u.